[1]
The following is a DFT calculation (PBE) of a geometry-optimized YThTlPb structure.

Lattice parameters (Å, degrees): 7.761 7.761 7.761 90.00 90.00 90.00
Space group F-43m (No. 216)
Asymmetric unit:
Y (0.000, 0.000, 0.000) x4
Th (0.000, 0.000, 0.500) x4
Tl (0.250, 0.250, 0.750) x4
Pb (0.250, 0.250, 0.250) x4

- magnetic moment (μB/f.u.) = 0.0
- crystal system = cubic
- VASP energy (eV per cell) = -83.6
- formation enthalpy at 0 K (meV/atom) = -236



[2]
The following is a DFT calculation (PBE) of a geometry-optimized TmTh2Pb9 structure.

Lattice parameters (Å, degrees): 4.907 4.907 14.614 90.00 90.00 90.00
Space group P4/mmm (No. 123)
Asymmetric unit:
Tm (0.000, 0.000, 0.000) x1
Th (0.000, 0.000, 0.336) x2
Pb (0.000, 0.500, 0.163) x4
Pb (0.000, 0.500, 0.500) x2
Pb (0.500, 0.500, 0.000) x1
Pb (0.500, 0.500, 0.331) x2

- magnetic moment (μB/f.u.) = 0.0
- crystal system = tetragonal
- VASP energy (eV per cell) = -55.3
- formation enthalpy at 0 K (meV/atom) = -222



What is the formula in the first record? YThTlPb



What is the magnetic moment in the first record? 0.0 μB/f.u.



Which formula does entry 1 have? YThTlPb